Entry 1:
# SrAgBi2S (PBE, relaxed)
# Space group: P4/mmm
# Formation energy without anion corrections, kJ/mol of formula units: 312
# Total magnetic moment, μB/f.u.: 0.00
data_SrAgBi2S
_chemical_formula_sum 'Sr1 Ag1 Bi2 S1'
_space_group_name_H-M_alt 'P 1'
_space_group_IT_number 1
_cell_length_a 6.222
_cell_length_b 6.222
_cell_length_c 5.356
_cell_angle_alpha 90.00
_cell_angle_beta 90.00
_cell_angle_gamma 90.00
loop_
_space_group_symop_operation_xyz
'x,y,z'
loop_
_atom_site_label
_atom_site_type_symbol
_atom_site_fract_x
_atom_site_fract_y
_atom_site_fract_z
Sr1 Sr 0.000 0.000 0.000
Ag1 Ag 0.500 0.500 0.500
Bi1 Bi 0.000 0.500 0.000
Bi2 Bi 0.500 0.000 0.000
S1 S 0.000 0.000 0.500



Entry 2:
# Sr3AgBi3S8 (PBE, relaxed)
# Space group: R-3m
# Formation energy without anion corrections, kJ/mol of formula units: -1353
# Total magnetic moment, μB/f.u.: 0.00
data_Sr3AgBi3S8
_chemical_formula_sum 'Sr3 Ag1 Bi3 S8'
_space_group_name_H-M_alt 'P 1'
_space_group_IT_number 1
_cell_length_a 8.306
_cell_length_b 8.306
_cell_length_c 8.306
_cell_angle_alpha 59.59
_cell_angle_beta 59.59
_cell_angle_gamma 59.59
loop_
_space_group_symop_operation_xyz
'x,y,z'
loop_
_atom_site_label
_atom_site_type_symbol
_atom_site_fract_x
_atom_site_fract_y
_atom_site_fract_z
Sr1 Sr 0.000 0.500 0.500
Sr2 Sr 0.500 0.000 0.500
Sr3 Sr 0.500 0.500 0.000
Ag1 Ag 0.500 0.500 0.500
Bi1 Bi 0.000 0.000 0.500
Bi2 Bi 0.000 0.500 0.000
Bi3 Bi 0.500 0.000 0.000
S1 S 0.242 0.744 0.744
S2 S 0.246 0.246 0.246
S3 S 0.256 0.256 0.758
S4 S 0.256 0.758 0.256
S5 S 0.744 0.242 0.744
S6 S 0.744 0.744 0.242
S7 S 0.754 0.754 0.754
S8 S 0.758 0.256 0.256



Entry 3:
# TbAg2BiS4 (PBE, relaxed)
# Space group: P2/m
# Formation energy without anion corrections, kJ/mol of formula units: -578
# Total magnetic moment, μB/f.u.: 0.00
data_TbAg2BiS4
_chemical_formula_sum 'Tb1 Ag2 Bi1 S4'
_space_group_name_H-M_alt 'P 1'
_space_group_IT_number 1
_cell_length_a 6.694
_cell_length_b 4.039
_cell_length_c 7.046
_cell_angle_alpha 90.00
_cell_angle_beta 111.24
_cell_angle_gamma 90.00
loop_
_space_group_symop_operation_xyz
'x,y,z'
loop_
_atom_site_label
_atom_site_type_symbol
_atom_site_fract_x
_atom_site_fract_y
_atom_site_fract_z
Tb1 Tb 0.000 0.000 0.000
Ag1 Ag 0.500 0.000 0.500
Ag2 Ag 0.500 0.500 0.000
Bi1 Bi 0.000 0.500 0.500
S1 S 0.244 0.500 0.246
S2 S 0.253 0.000 0.760
S3 S 0.747 0.000 0.240
S4 S 0.756 0.500 0.754



Question: Number 2 is which compound?
Answer: Sr3AgBi3S8